(1)
As2PbSeN: optimized geometry, PBE.

## Properties
Formation energy (no corrections) (eV per formula unit): 3.381
Spin magnetization (μB/f.u.): 0.0
Distance to the lowest polymorph of the same formula (eV per formula unit): 0.00
Total energy (eV per formula unit): -21.44

Cell lengths 4.496, 4.496, 4.770 Å; angles 90.00, 90.00, 90.00 degrees
Atoms (fractional coordinates):
Se 0.000 0.000 0.500
Pb 0.500 0.500 0.500
N 0.000 0.000 0.000
As 0.000 0.500 0.000
As 0.500 0.000 0.000

(2)
AsPbSeN2: optimized geometry, PBE.

## Properties
Formation energy (no corrections) (eV per formula unit): 8.928
Spin magnetization (μB/f.u.): 1.9
Distance to the lowest polymorph of the same formula (eV per formula unit): 3.57
Total energy (eV per formula unit): -19.57

Cell lengths 4.364, 4.364, 5.814 Å; angles 90.00, 90.00, 90.00 degrees
Last column: magnetic moment on the atom in μB.
Atoms (fractional coordinates):
Se 0.000 0.000 0.500  0.07
Pb 0.000 0.000 0.000  -0.04
N 0.500 0.000 0.000  0.90
N 0.000 0.500 0.000  0.90
As 0.500 0.500 0.500  -0.35

(3)
AsPbSeN2: optimized geometry, PBE.

## Properties
Formation energy (no corrections) (eV per formula unit): 5.360
Spin magnetization (μB/f.u.): 0.8
Distance to the lowest polymorph of the same formula (eV per formula unit): 0.00
Total energy (eV per formula unit): -23.13

Cell lengths 4.019, 4.019, 5.321 Å; angles 90.00, 90.00, 90.00 degrees
Last column: magnetic moment on the atom in μB.
Atoms (fractional coordinates):
Pb 0.500 0.500 0.500  -0.01
Se 0.000 0.000 0.500  0.02
N 0.000 0.500 0.000  0.30
N 0.500 0.000 0.000  0.30
As 0.000 0.000 0.000  -0.02

(4)
TeAsPbN2: optimized geometry, PBE.

## Properties
Formation energy (no corrections) (eV per formula unit): 6.536
Spin magnetization (μB/f.u.): 2.2
Distance to the lowest polymorph of the same formula (eV per formula unit): 0.00
Total energy (eV per formula unit): -21.61

Cell lengths 4.277, 4.277, 5.706 Å; angles 90.00, 90.00, 90.00 degrees
Last column: magnetic moment on the atom in μB.
Atoms (fractional coordinates):
Pb 0.500 0.500 0.500  -0.02
N 0.500 0.000 0.000  0.74
N 0.000 0.500 0.000  0.74
Te 0.000 0.000 0.500  0.08
As 0.000 0.000 0.000  0.00

(5)
TeAsPbN2: optimized geometry, PBE.

## Properties
Formation energy (no corrections) (eV per formula unit): 8.696
Spin magnetization (μB/f.u.): 3.7
Distance to the lowest polymorph of the same formula (eV per formula unit): 2.16
Total energy (eV per formula unit): -19.45

Cell lengths 4.420, 4.420, 6.755 Å; angles 90.00, 90.00, 90.00 degrees
Last column: magnetic moment on the atom in μB.
Atoms (fractional coordinates):
Pb 0.000 0.000 0.000  -0.07
Te 0.000 0.000 0.500  0.03
N 0.500 0.000 0.000  0.95
N 0.000 0.500 0.000  0.95
As 0.500 0.500 0.500  0.43

(6)
TlAsPb2N: optimized geometry, PBE.

## Properties
Formation energy (no corrections) (eV per formula unit): 7.270
Spin magnetization (μB/f.u.): 0.0
Total energy (eV per formula unit): -15.49

Cell lengths 5.653, 5.221, 5.653 Å; angles 90.00, 90.00, 90.00 degrees
Atoms (fractional coordinates):
Tl 0.000 0.500 0.000
Pb 0.000 0.000 0.500
Pb 0.500 0.000 0.000
As 0.000 0.000 0.000
N 0.500 0.500 0.500